# PBE AcIn2Hg, relaxed
# final energy: -2.691 eV/atom
# energy of formation from the pure elements: -0.219 eV per atom
# size of the total moment: 0.00 μB/f.u.
# polymorph energy (0 for the lowest one): 174 meV per atom
data_AcIn2Hg
_symmetry_space_group_name_H-M 'F m -3 m'
_symmetry_Int_Tables_number 225
_symmetry_space_group_name_Hall '-F 4 2 3'
_cell_length_a 7.804
_cell_length_b 7.804
_cell_length_c 7.804
_cell_angle_alpha 90.00
_cell_angle_beta 90.00
_cell_angle_gamma 90.00
loop_
_atom_site_label
_atom_site_type_symbol
_atom_site_fract_x
_atom_site_fract_y
_atom_site_fract_z
_atom_site_occupancy
Ac1 Ac 0.000 0.000 0.000 1
In1 In 0.250 0.250 0.250 1
Hg1 Hg 0.000 0.000 0.500 1

# PBE AcIn3Hg3, relaxed
# final energy: -1.748 eV/atom
# energy of formation from the pure elements: 0.142 eV per atom
# size of the total moment: 0.00 μB/f.u.
# polymorph energy (0 for the lowest one): 357 meV per atom
data_AcIn3Hg3
_symmetry_space_group_name_H-M 'P m -3 n'
_symmetry_Int_Tables_number 223
_symmetry_space_group_name_Hall '-P 4n 2 3'
_cell_length_a 7.831
_cell_length_b 7.831
_cell_length_c 7.831
_cell_angle_alpha 90.00
_cell_angle_beta 90.00
_cell_angle_gamma 90.00
loop_
_atom_site_label
_atom_site_type_symbol
_atom_site_fract_x
_atom_site_fract_y
_atom_site_fract_z
_atom_site_occupancy
Ac1 Ac 0.000 0.000 0.000 1
In1 In 0.000 0.250 0.500 1
Hg1 Hg 0.000 0.500 0.250 1

# PBE Ac2In4Hg9, relaxed
# final energy: -1.679 eV/atom
# energy of formation from the pure elements: -0.220 eV per atom
# size of the total moment: 0.00 μB/f.u.
data_Ac2In4Hg9
_symmetry_space_group_name_H-M 'P -3 m 1'
_symmetry_Int_Tables_number 164
_symmetry_space_group_name_Hall '-P 3 2"'
_cell_length_a 5.1669
_cell_length_b 5.1669
_cell_length_c 17.8583
_cell_angle_alpha 90.00
_cell_angle_beta 90.00
_cell_angle_gamma 120.00
loop_
_atom_site_label
_atom_site_type_symbol
_atom_site_fract_x
_atom_site_fract_y
_atom_site_fract_z
_atom_site_occupancy
Ac1 Ac 0.3333 0.6667 0.2605 1
In1 In 0.3333 0.6667 0.6260 1
In2 In 0.3333 0.6667 0.8709 1
Hg1 Hg 0.0000 0.0000 0.0000 1
Hg2 Hg 0.0000 0.0000 0.1725 1
Hg3 Hg 0.0000 0.0000 0.3574 1
Hg4 Hg 0.3333 0.6667 0.0578 1
Hg5 Hg 0.3333 0.6667 0.4605 1

- Among the records above, which one has the highest energy of formation from the pure elements?
  AcIn3Hg3

- Which value of size of the total moment does entry 2 give?
  0.00 μB/f.u.